# 1
The following is a PBE-GGA calculation of an optimized crystal structure of Ho3Zn3Ir2, from the Alexandria database.

abc: 7.3871 16.1098 5.4732
angles: 90.00 90.00 90.00
Space group Pnma (No. 62)
One atom of each set of equivalent atoms:
Ho 0.0364 0.1078 0.1121 [8 per cell]
Ho 0.1657 0.2500 0.6456 [4 per cell]
Zn 0.1733 0.0297 0.5975 [8 per cell]
Zn 0.1757 0.7500 0.6387 [4 per cell]
Ir 0.1216 0.6159 0.3769 [8 per cell]

Calculated values
ΔE_f	-14.066	kcal/mol of atoms
DOS at the Fermi energy	0.481	states/eV per atom
energy	-5.02	eV per atom
size of the total moment	0.000	μB per cell

***

# 2
The following is a PBE-GGA calculation of an optimized crystal structure of Ho2ZnIr, from the Alexandria database.

abc: 3.4910 3.4910 7.0092
angles: 90.00 90.00 90.00
Space group P4/mmm (No. 123)
One atom of each set of equivalent atoms:
Ho 0.0000 0.0000 0.2311 [2 per cell]
Zn 0.5000 0.5000 0.5000 [1 per cell]
Ir 0.5000 0.5000 0.0000 [1 per cell]

Calculated values
ΔE_f	-14.565	kcal/mol of atoms
DOS at the Fermi energy	0.591	states/eV per atom
energy	-5.45	eV per atom
size of the total moment	0.000	μB per cell
energy above the lowest structure with this stoichiometry	0.16	eV per formula unit

***

# 3
The following is a PBE-GGA calculation of an optimized crystal structure of Ho8Zn2Ir, from the Alexandria database.

abc: 17.4433 5.0827 6.7045
angles: 90.00 105.82 90.00
Space group C2/m (No. 12)
One atom of each set of equivalent atoms:
Ho 0.0273 0.0000 0.2861 [4 per cell]
Ho 0.0897 0.5000 0.9355 [4 per cell]
Ho 0.1589 0.5000 0.4664 [4 per cell]
Ho 0.2020 0.0000 0.8174 [4 per cell]
Zn 0.1873 0.0000 0.2267 [4 per cell]
Ir 0.0000 0.5000 0.5000 [2 per cell]

Calculated values
ΔE_f	-6.856	kcal/mol of atoms
DOS at the Fermi energy	0.764	states/eV per atom
energy	-4.66	eV per atom
size of the total moment	0.000	μB per cell
energy above the lowest structure with this stoichiometry	0.00	eV per formula unit

***

# 4
The following is a PBE-GGA calculation of an optimized crystal structure of Ho2ZnIr, from the Alexandria database.

abc: 6.9347 6.9347 6.9347
angles: 90.00 90.00 90.00
Space group Fm-3m (No. 225)
One atom of each set of equivalent atoms:
Ho 0.2500 0.2500 0.2500 [8 per cell]
Zn 0.0000 0.0000 0.0000 [4 per cell]
Ir 0.0000 0.0000 0.5000 [4 per cell]

Calculated values
ΔE_f	-15.033	kcal/mol of atoms
DOS at the Fermi energy	0.695	states/eV per atom
energy	-5.47	eV per atom
size of the total moment	0.000	μB per cell
energy above the lowest structure with this stoichiometry	0.08	eV per formula unit

***

# 5
The following is a PBE-GGA calculation of an optimized crystal structure of HoZnIr2, from the Alexandria database.

abc: 4.2140 4.2140 3.7696
angles: 90.00 90.00 90.00
Space group P4/mmm (No. 123)
One atom of each set of equivalent atoms:
Ho 0.0000 0.0000 0.0000 [1 per cell]
Zn 0.5000 0.5000 0.0000 [1 per cell]
Ir 0.0000 0.5000 0.5000 [2 per cell]

Calculated values
ΔE_f	-11.454	kcal/mol of atoms
DOS at the Fermi energy	0.619	states/eV per atom
energy	-6.39	eV per atom
size of the total moment	0.000	μB per cell

***

# 6
The following is a PBE-GGA calculation of an optimized crystal structure of HoZn2Ir, from the Alexandria database.

abc: 6.4716 6.4716 6.4716
angles: 90.00 90.00 90.00
Space group Fm-3m (No. 225)
One atom of each set of equivalent atoms:
Ho 0.0000 0.0000 0.0000 [4 per cell]
Zn 0.2500 0.2500 0.2500 [8 per cell]
Ir 0.0000 0.0000 0.5000 [4 per cell]

Calculated values
ΔE_f	-9.092	kcal/mol of atoms
DOS at the Fermi energy	0.947	states/eV per atom
energy	-4.39	eV per atom
size of the total moment	0.000	μB per cell

***

# 7
The following is a PBE-GGA calculation of an optimized crystal structure of Ho8Zn2Ir, from the Alexandria database.

abc: 7.5213 15.7222 6.0854
angles: 90.00 123.12 90.00
Space group Cm (No. 8)
One atom of each set of equivalent atoms:
Ho 0.0000 0.0000 0.0000 [2 per cell]
Ho 0.0428 0.3850 0.8267 [4 per cell]
Ho 0.0585 0.5000 0.3599 [2 per cell]
Ho 0.2723 0.1939 0.1366 [4 per cell]
Ho 0.4987 0.3814 0.4766 [4 per cell]
Zn 0.2713 0.2800 0.6504 [4 per cell]
Ir 0.2687 0.0000 0.8429 [2 per cell]

Calculated values
ΔE_f	-5.216	kcal/mol of atoms
DOS at the Fermi energy	1.081	states/eV per atom
energy	-4.59	eV per atom
size of the total moment	0.000	μB per cell
energy above the lowest structure with this stoichiometry	0.78	eV per formula unit

***

# 8
The following is a PBE-GGA calculation of an optimized crystal structure of HoZn4Ir2, from the Alexandria database.

abc: 7.5942 7.5942 4.1168
angles: 90.00 90.00 90.00
Space group P4_2/mnm (No. 136)
One atom of each set of equivalent atoms:
Ho 0.0000 0.0000 0.0000 [2 per cell]
Zn 0.0953 0.3492 0.5000 [8 per cell]
Ir 0.2121 0.7879 0.5000 [4 per cell]

Calculated values
ΔE_f	-9.066	kcal/mol of atoms
DOS at the Fermi energy	0.286	states/eV per atom
energy	-4.31	eV per atom
size of the total moment	0.000	μB per cell

***

# 9
The following is a PBE-GGA calculation of an optimized crystal structure of Ho2Zn15Ir2, from the Alexandria database.

abc: 8.9653 8.9653 13.0470
angles: 90.00 90.00 120.00
Space group R-3m (No. 166, hexagonal axes)
One atom of each set of equivalent atoms:
Ho 0.0000 0.0000 0.1705 [6 per cell]
Zn 0.0000 0.2840 0.5000 [18 per cell]
Zn 0.0000 0.5000 0.0000 [9 per cell]
Zn 0.0031 0.5015 0.6482 [18 per cell]
Ir 0.0000 0.0000 0.3900 [6 per cell]

Calculated values
ΔE_f	-5.765	kcal/mol of atoms
DOS at the Fermi energy	0.360	states/eV per atom
energy	-2.67	eV per atom
size of the total moment	0.000	μB per cell

***

# 10
The following is a PBE-GGA calculation of an optimized crystal structure of Ho7Zn2Ir2, from the Alexandria database.

abc: 7.9038 10.6766 7.0052
angles: 90.00 90.00 90.00
Space group Cmmm (No. 65)
One atom of each set of equivalent atoms:
Ho 0.0000 0.0000 0.0000 [2 per cell]
Ho 0.0000 0.5000 0.2524 [4 per cell]
Ho 0.2500 0.2500 0.2581 [8 per cell]
Zn 0.1700 0.0000 0.5000 [4 per cell]
Ir 0.0000 0.2886 0.0000 [4 per cell]

Calculated values
ΔE_f	-8.757	kcal/mol of atoms
DOS at the Fermi energy	0.933	states/eV per atom
energy	-5.14	eV per atom
size of the total moment	0.000	μB per cell

***

# 11
The following is a PBE-GGA calculation of an optimized crystal structure of Ho2ZnIr, from the Alexandria database.

abc: 5.6672 4.3847 7.5970
angles: 90.00 110.89 90.00
Space group P2_1/m (No. 11)
One atom of each set of equivalent atoms:
Ho 0.2087 0.2500 0.4372 [2 per cell]
Ho 0.2307 0.2500 0.9210 [2 per cell]
Zn 0.3412 0.7500 0.2135 [2 per cell]
Ir 0.3522 0.7500 0.7151 [2 per cell]

Calculated values
ΔE_f	-15.472	kcal/mol of atoms
DOS at the Fermi energy	0.742	states/eV per atom
energy	-5.49	eV per atom
size of the total moment	0.000	μB per cell
energy above the lowest structure with this stoichiometry	0.00	eV per formula unit

***

# 12
The following is a PBE-GGA calculation of an optimized crystal structure of HoZn3Ir, from the Alexandria database.

abc: 4.3030 7.2728 6.3078
angles: 90.00 90.00 90.00
Space group Amm2 (No. 38)
One atom of each set of equivalent atoms:
Ho 0.0000 0.0000 0.0000 [2 per cell]
Zn 0.0000 0.0000 0.5019 [2 per cell]
Zn 0.5000 0.1866 0.3642 [4 per cell]
Ir 0.5000 0.0000 0.7165 [2 per cell]

Calculated values
ΔE_f	-6.992	kcal/mol of atoms
DOS at the Fermi energy	0.280	states/eV per atom
energy	-3.76	eV per atom
size of the total moment	0.000	μB per cell

***

Q: What is the energy in the second record?
A: -5.45 eV per atom